Computed, not measured: a relaxed TmFe4Rh crystal at the PBE-GGA level of DFT.

* DOS(E_F): 5.1 states/eV/f.u.
* uncorrected energy: -7.738 eV/atom
* formation energy: -0.126 eV per atom

Cell: 4.9495 4.9495 4.9495 Å, 60.00 60.00 60.00°
Last column: nearest neighbours and their distance in Å.
Sites, in units of the cell vectors:
Tm  0.0000  0.0000  0.0000  12 Fe 2.90, 4 Rh 3.03
Fe  0.3753  0.3753  0.3753  6 Fe 2.47-2.48
Fe  0.3753  0.3753  0.8741  6 Fe 2.47-2.48
Fe  0.3753  0.8741  0.3753  6 Fe 2.47-2.48
Fe  0.8741  0.3753  0.3753  6 Fe 2.47-2.48
Rh  0.7500  0.7500  0.7500  12 Fe 2.90, 4 Tm 3.03